1.
Computed, not measured: crystalline YCd2Ir at its relaxed geometry at the GGA-PBE level of DFT.

Cell: 4.8886 4.8886 4.8886 Å, 119.89 119.89 90.19°
Closest atoms and distances in Å follow each position.
Atoms (fractional coordinates):
Y 0.0000 0.0000 0.0000  4 Cd 3.00, 4 Ir 3.00
Cd 0.2500 0.7500 0.5000  4 Cd 3.00, 4 Y 3.00
Cd 0.5000 0.5000 0.0000  4 Cd 3.00, 4 Ir 3.00
Ir 0.7500 0.2500 0.5000  4 Cd 3.00, 4 Y 3.00

- Magnetic moment: 0.0 μB per formula unit
- ΔH_f (0 K): -0.25 eV per atom

2.
Computed, not measured: crystalline YCd2Ir at its relaxed geometry at the GGA-PBE level of DFT.

Cell: 11.1358 11.1358 11.1358 Å, 158.87 158.87 30.06°
Closest atoms and distances in Å follow each position.
Atoms (fractional coordinates):
Y 0.0000 0.0000 0.0000  4 Ir 2.89, 4 Cd 3.08
Y 0.7500 0.2500 0.5000  4 Ir 2.89, 4 Cd 3.08
Cd 0.1459 0.6250 0.0209  4 Cd 2.77-3.01, 2 Ir 3.02, 2 Y 3.08
Cd 0.3750 0.3959 0.5209  4 Cd 2.77-3.01, 2 Ir 3.02, 2 Y 3.08
Cd 0.6041 0.1250 0.9791  4 Cd 2.77-3.01, 2 Ir 3.02, 2 Y 3.08
Cd 0.8750 0.8541 0.4791  4 Cd 2.77-3.01, 2 Ir 3.02, 2 Y 3.08
Ir 0.2500 0.7500 0.5000  4 Y 2.89, 4 Cd 3.02
Ir 0.5000 0.5000 0.0000  4 Y 2.89, 4 Cd 3.02

- Magnetic moment: 0.0 μB per formula unit
- ΔH_f (0 K): -0.10 eV per atom

3.
Computed, not measured: crystalline Y6Cd2Ir at its relaxed geometry at the GGA-PBE level of DFT.

Cell: 6.8712 7.4627 12.3898 Å, 90.00 122.64 90.00°
Closest atoms and distances in Å follow each position.
Atoms (fractional coordinates):
Y 0.1407 0.0092 0.2476  1 Ir 2.75
Y 0.1407 0.4908 0.7476  1 Ir 2.75
Y 0.2127 0.6948 0.0424  1 Ir 2.72
Y 0.2127 0.8052 0.5424  1 Ir 2.72
Y 0.3568 0.1854 0.0451  1 Ir 2.72
Y 0.3568 0.3146 0.5451  1 Ir 2.72
Y 0.6432 0.6854 0.4549  1 Ir 2.72
Y 0.6432 0.8146 0.9549  1 Ir 2.72
Y 0.7873 0.1948 0.4576  1 Ir 2.72
Y 0.7873 0.3052 0.9576  1 Ir 2.72
Y 0.8593 0.5092 0.2524  1 Ir 2.75
Y 0.8593 0.9908 0.7524  1 Ir 2.75
Cd 0.3032 0.0934 0.7517  6 Y 3.13-3.30
Cd 0.3032 0.4066 0.2517  6 Y 3.13-3.30
Cd 0.6968 0.5934 0.7483  6 Y 3.13-3.30
Cd 0.6968 0.9066 0.2483  6 Y 3.13-3.30
Ir 0.5000 0.0000 0.5000  6 Y 2.72-2.75
Ir 0.5000 0.5000 0.0000  6 Y 2.72-2.75

- Magnetic moment: 0.0 μB per formula unit
- ΔH_f (0 K): -0.29 eV per atom

4.
Computed, not measured: crystalline Y8CdIr2 at its relaxed geometry at the GGA-PBE level of DFT.

Cell: 7.9463 7.9463 5.5048 Å, 97.21 97.21 113.15°
Closest atoms and distances in Å follow each position.
Atoms (fractional coordinates):
Y 0.0000 0.0000 0.0000  2 Ir 3.06, 1 Cd 3.28, 3 Y 3.32-3.40
Y 0.0535 0.3159 0.6192  2 Ir 2.88-2.92
Y 0.1355 0.6314 0.1990  2 Ir 2.87
Y 0.3159 0.0535 0.6192  2 Ir 2.88-2.92
Y 0.4508 0.7132 0.7788  2 Ir 2.88-2.92
Y 0.6314 0.1355 0.1990  2 Ir 2.87
Y 0.7132 0.4508 0.7788  2 Ir 2.88-2.92
Y 0.7666 0.7666 0.3978  2 Ir 3.06, 1 Cd 3.28, 3 Y 3.32-3.40
Cd 0.3832 0.3832 0.1981  8 Y 3.28-3.64
Ir 0.0732 0.6936 0.6990  8 Y 2.87-3.06
Ir 0.6936 0.0732 0.6990  8 Y 2.87-3.06

- Magnetic moment: 0.0 μB per formula unit
- ΔH_f (0 K): -0.38 eV per atom

5.
Computed, not measured: crystalline Y2CdIr at its relaxed geometry at the GGA-PBE level of DFT.

Cell: 7.9872 7.9872 7.9872 Å, 155.13 149.30 39.91°
Closest atoms and distances in Å follow each position.
Atoms (fractional coordinates):
Y 0.1715 0.1715 0.0000  1 Ir 2.57
Y 0.8285 0.8285 0.0000  1 Ir 2.57
Cd 0.5000 0.5000 0.0000  4 Ir 2.73
Ir 0.0000 0.0000 0.0000  2 Y 2.57, 4 Cd 2.73

- Magnetic moment: 0.0 μB per formula unit
- ΔH_f (0 K): 0.03 eV per atom

6.
Computed, not measured: crystalline YCd2Ir at its relaxed geometry at the GGA-PBE level of DFT.

Cell: 6.1498 6.1498 3.3192 Å, 105.24 105.24 124.04°
Closest atoms and distances in Å follow each position.
Atoms (fractional coordinates):
Y 0.0000 0.0000 0.0000  4 Ir 2.89-2.93, 4 Cd 3.09
Cd 0.0000 0.5000 0.5000  4 Cd 2.89-2.93, 2 Ir 3.09, 2 Y 3.09
Cd 0.5000 0.0000 0.5000  4 Cd 2.89-2.93, 2 Ir 3.09, 2 Y 3.09
Ir 0.5000 0.5000 0.0000  4 Y 2.89-2.93, 4 Cd 3.09

- Magnetic moment: 0.0 μB per formula unit
- ΔH_f (0 K): -0.07 eV per atom

7.
Computed, not measured: crystalline Y3Cd3Ir at its relaxed geometry at the GGA-PBE level of DFT.

Cell: 10.0343 10.0343 10.0343 Å, 60.00 60.00 60.00°
Closest atoms and distances in Å follow each position.
Atoms (fractional coordinates):
Y 0.0814 0.0814 0.6686  2 Ir 2.76
Y 0.0814 0.6686 0.0814  2 Ir 2.76
Y 0.0814 0.6686 0.6686  2 Ir 2.76
Y 0.3314 0.3314 0.9186  2 Ir 2.76
Y 0.3314 0.9186 0.3314  2 Ir 2.76
Y 0.3314 0.9186 0.9186  2 Ir 2.76
Y 0.6686 0.0814 0.0814  2 Ir 2.76
Y 0.6686 0.0814 0.6686  2 Ir 2.76
Y 0.6686 0.6686 0.0814  2 Ir 2.76
Y 0.9186 0.3314 0.3314  2 Ir 2.76
Y 0.9186 0.3314 0.9186  2 Ir 2.76
Y 0.9186 0.9186 0.3314  2 Ir 2.76
Cd 0.0000 0.5000 0.5000  6 Cd 3.07
Cd 0.2918 0.2918 0.2918  6 Cd 3.07-3.34, 6 Y 3.39-3.42
Cd 0.2918 0.2918 0.6247  6 Cd 3.07-3.34, 6 Y 3.39-3.42
Cd 0.2918 0.6247 0.2918  6 Cd 3.07-3.34, 6 Y 3.39-3.42
Cd 0.3753 0.7082 0.7082  6 Cd 3.07-3.34, 6 Y 3.39-3.42
Cd 0.5000 0.0000 0.5000  6 Cd 3.07
Cd 0.5000 0.5000 0.0000  6 Cd 3.07
Cd 0.5000 0.5000 0.5000  6 Cd 3.07
Cd 0.6247 0.2918 0.2918  6 Cd 3.07-3.34, 6 Y 3.39-3.42
Cd 0.7082 0.3753 0.7082  6 Cd 3.07-3.34, 6 Y 3.39-3.42
Cd 0.7082 0.7082 0.3753  6 Cd 3.07-3.34, 6 Y 3.39-3.42
Cd 0.7082 0.7082 0.7082  6 Cd 3.07-3.34, 6 Y 3.39-3.42
Ir 0.0000 0.0000 0.0000  6 Y 2.76
Ir 0.0000 0.0000 0.5000  6 Y 2.76
Ir 0.0000 0.5000 0.0000  6 Y 2.76
Ir 0.5000 0.0000 0.0000  6 Y 2.76

- Magnetic moment: 0.0 μB per formula unit
- ΔH_f (0 K): -0.48 eV per atom

8.
Computed, not measured: crystalline Y2CdIr2 at its relaxed geometry at the GGA-PBE level of DFT.

Cell: 8.3599 8.3599 8.3599 Å, 153.08 153.08 38.44°
Closest atoms and distances in Å follow each position.
Atoms (fractional coordinates):
Y 0.1205 0.1205 0.0000  4 Ir 2.82
Y 0.8795 0.8795 0.0000  4 Ir 2.82
Cd 0.5000 0.5000 0.0000  8 Y 3.35
Ir 0.2500 0.7500 0.5000  4 Ir 2.75, 4 Y 2.82
Ir 0.7500 0.2500 0.5000  4 Ir 2.75, 4 Y 2.82

- Magnetic moment: 0.0 μB per formula unit
- ΔH_f (0 K): -0.29 eV per atom

9.
Computed, not measured: crystalline YCd2Ir at its relaxed geometry at the GGA-PBE level of DFT.

Cell: 3.3278 3.3278 7.8135 Å, 90.00 90.00 90.00°
Closest atoms and distances in Å follow each position.
Atoms (fractional coordinates):
Y 0.0000 0.0000 0.0000  4 Ir 2.88
Cd 0.0000 0.0000 0.5712  4 Ir 2.89, 4 Cd 3.09
Cd 0.5000 0.5000 0.3153  8 Cd 3.09-3.33, 4 Y 3.41
Ir 0.5000 0.5000 0.7870  4 Y 2.88, 4 Cd 2.89

- Magnetic moment: 0.0 μB per formula unit
- ΔH_f (0 K): -0.27 eV per atom

10.
Computed, not measured: crystalline Y2CdIr2 at its relaxed geometry at the GGA-PBE level of DFT.

Cell: 5.7882 5.7882 8.3285 Å, 106.64 106.64 56.05°
Closest atoms and distances in Å follow each position.
Atoms (fractional coordinates):
Y 0.0166 0.6935 0.8528  5 Ir 2.91-3.24
Y 0.3065 0.9834 0.6472  5 Ir 2.91-3.24
Y 0.6935 0.0166 0.3528  5 Ir 2.91-3.24
Y 0.9834 0.3065 0.1472  5 Ir 2.91-3.24
Cd 0.3366 0.6634 0.2500  4 Ir 2.78-2.84
Cd 0.6634 0.3366 0.7500  4 Ir 2.78-2.84
Ir 0.1979 0.5165 0.4824  1 Ir 2.51, 1 Cd 2.78
Ir 0.4835 0.8021 0.0176  1 Ir 2.51, 1 Cd 2.78
Ir 0.5165 0.1979 0.9824  1 Ir 2.51, 1 Cd 2.78
Ir 0.8021 0.4835 0.5176  1 Ir 2.51, 1 Cd 2.78

- Magnetic moment: 0.0 μB per formula unit
- ΔH_f (0 K): -0.66 eV per atom

11.
Computed, not measured: crystalline YCd2Ir at its relaxed geometry at the GGA-PBE level of DFT.

Cell: 4.8569 4.8569 4.8569 Å, 60.00 60.00 60.00°
Closest atoms and distances in Å follow each position.
Atoms (fractional coordinates):
Y 0.0000 0.0000 0.0000  8 Cd 2.97
Cd 0.2500 0.2500 0.2500  4 Ir 2.97, 4 Y 2.97
Cd 0.7500 0.7500 0.7500  4 Ir 2.97, 4 Y 2.97
Ir 0.5000 0.5000 0.5000  8 Cd 2.97

- Magnetic moment: 0.0 μB per formula unit
- ΔH_f (0 K): -0.16 eV per atom

12.
Computed, not measured: crystalline YCd2Ir2 at its relaxed geometry at the GGA-PBE level of DFT.

Cell: 5.5128 5.5128 4.8636 Å, 90.00 90.00 90.00°
Closest atoms and distances in Å follow each position.
Atoms (fractional coordinates):
Y 0.0000 0.0000 0.0000  2 Ir 2.43
Cd 0.0000 0.5000 0.0000  2 Y 2.76
Cd 0.5000 0.0000 0.0000  2 Y 2.76
Ir 0.0000 0.0000 0.5000  2 Y 2.43
Ir 0.5000 0.5000 0.5000  8 Cd 3.68, 4 Ir 3.90

- E above lowest polymorph: 2072 meV/atom
- Magnetic moment: 1.3 μB per formula unit
- ΔH_f (0 K): 1.88 eV per atom